Compound: CsKP2S
Source: Alexandria
Functional: GGA-PBEsol
Structure: relaxed

Calculated values
Its space-group type is P4/mmm. The formation energy from raw total energies comes out at 1.11 eV per atom.

Structure (POSCAR):
```
CsKP2S
1.0
5.725 0.000 0.000
0.000 5.725 0.000
0.000 0.000 5.658
Cs K P S
1 1 2 1
Direct
0.000 0.000 0.000
0.500 0.500 0.500
0.000 0.500 0.000
0.500 0.000 0.000
0.000 0.000 0.500
```

Compound: CsK3Pd
Source: Alexandria
Functional: GGA-PBEsol
Structure: relaxed

Calculated values
As for the formation energy: 0.147 eV/atom. Its space-group type is Pm-3m.

Structure (POSCAR):
```
CsK3Pd
1.0
6.446 0.000 0.000
0.000 6.446 0.000
0.000 0.000 6.446
Cs K Pd
1 3 1
Direct
0.000 0.000 0.000
0.000 0.500 0.500
0.500 0.000 0.500
0.500 0.500 0.000
0.500 0.500 0.500
```

Compound: CsK2TlPt
Source: Alexandria
Functional: GGA-PBEsol
Structure: relaxed

Calculated values
As for the formation energy: -0.001 eV/atom. Its space-group type is P4/mmm.

Structure (POSCAR):
```
CsK2TlPt
1.0
6.235 0.000 0.000
0.000 6.235 0.000
0.000 0.000 5.292
Cs K Tl Pt
1 2 1 1
Direct
0.000 0.000 0.000
0.000 0.500 0.500
0.500 0.000 0.500
0.500 0.500 0.000
0.500 0.500 0.500
```

Compound: Cs2K2Rb
Source: Alexandria
Functional: GGA-PBEsol
Structure: relaxed

Calculated values
As for the formation energy: 0.043 eV/atom. The calculation puts the polymorph energy (0 for the lowest one) at 0.0 kJ per mole of atoms. Its space-group type is P4/mbm.

Structure (POSCAR):
```
Cs2K2Rb
1.0
13.288 0.000 0.000
0.000 13.288 0.000
0.000 0.000 5.095
Cs K Rb
4 4 2
Direct
0.134 0.366 0.000
0.366 0.866 0.000
0.634 0.134 0.000
0.866 0.634 0.000
0.165 0.665 0.500
0.335 0.165 0.500
0.665 0.835 0.500
0.835 0.335 0.500
0.000 0.000 0.000
0.500 0.500 0.000
```

| no. | DOS(E_F) (states/eV/f.u.) | volume (Å³/cell) |
| --- | --- | --- |
| 1 | 4.43 | 185 |
| 2 | 2.76 | 268 |
| 3 | 3.23 | 206 |
| 4 | 4.99 | 900 |